# ZnIr | the Open Quantum Materials Database | PBE | optimized geometry
# Formation energy = -129.5 meV per atom
data_ZnIr
_chemical_formula_sum 'Zn2 Ir2'
_space_group_name_H-M_alt 'P 1'
_space_group_IT_number 1
_cell_length_a 4.478
_cell_length_b 2.830
_cell_length_c 4.484
_cell_angle_alpha 90.00
_cell_angle_beta 90.00
_cell_angle_gamma 90.00
loop_
_space_group_symop_operation_xyz
'x,y,z'
loop_
_atom_site_label
_atom_site_fract_x
_atom_site_fract_y
_atom_site_fract_z
Ir1 0.487 0.500 0.000
Ir2 0.347 0.000 0.500
Zn1 0.987 0.000 0.000
Zn2 0.846 0.500 0.500